1.
Crystalline CsTlAsAu2 at its relaxed geometry. Source: Alexandria via LeMat-Bulk, functional PBE.

Unit cell a=5.882 b=6.569 c=5.882 alpha=90.00 beta=90.00 gamma=90.00
Positions (direct):
Au 0.000 0.000 0.500
Au 0.500 0.000 0.000
As 0.500 0.500 0.500
Cs 0.000 0.000 0.000
Tl 0.000 0.500 0.000

## Properties
* total magnetization: 2.23 μB per formula unit
* uncorrected energy: -8.271 eV for the cell shown
* energy relative to the lowest polymorph listed for this composition: 1.2361 eV/atom
* space-group type: P4/mmm, No. 123

---

2.
Crystalline CsTlAsAu2 at its relaxed geometry. Source: Alexandria via LeMat-Bulk, functional PBE.

Unit cell a=5.167 b=5.167 c=6.051 alpha=90.00 beta=90.00 gamma=90.00
Positions (direct):
As 0.000 0.000 0.000
Cs 0.500 0.500 0.500
Au 0.000 0.500 0.000
Au 0.500 0.000 0.000
Tl 0.000 0.000 0.500

## Properties
* total magnetization: 0.00 μB per formula unit
* uncorrected energy: -14.452 eV for the cell shown
* energy relative to the lowest polymorph listed for this composition: 0.0000 eV/atom
* space-group type: P4/mmm, No. 123

---

3.
Crystalline Cs4TlAs2Au2 at its relaxed geometry. Source: Alexandria via LeMat-Bulk, functional PBE.

Unit cell a=4.716 b=10.145 c=10.145 alpha=64.78 beta=76.60 gamma=76.60
Positions (direct):
Cs 0.864 0.869 0.401
Cs 0.864 0.401 0.869
Cs 0.136 0.599 0.131
Cs 0.136 0.131 0.599
Au 0.255 0.744 0.744
Au 0.745 0.256 0.256
As 0.298 0.202 0.202
As 0.702 0.798 0.798
Tl 0.500 0.000 0.000

## Properties
* total magnetization: 0.28 μB per formula unit
* uncorrected energy: -24.200 eV for the cell shown
* space-group type: Immm, No. 71